(1)
Compound: KNa12Au4
Source: Alexandria
Functional: PBE
Structure: optimized geometry

Cell lengths 10.5900, 10.5900, 10.5900 Å; angles 90.00, 90.00, 90.00 degrees
With the nearest neighbours (Å) after each atom.
Space group Im-3 (No. 204)
Unique sites:
K 0.0000 0.0000 0.0000 [2 per cell]  12 Na 4.00
Na 0.0000 0.1754 0.3350 [24 per cell]  2 Au 2.91
Au 0.2500 0.2500 0.2500 [8 per cell]  6 Na 2.91

Values from the calculation:
Total magnetization = 0.0 μB/f.u.
E_form = -0.0954 eV/atom

(2)
Compound: YCrSn3
Source: Alexandria
Functional: PBE
Structure: optimized geometry

Cell lengths 5.6927, 5.6927, 5.6927 Å; angles 90.00, 90.00, 90.00 degrees
With the nearest neighbours (Å) after each atom.
Space group Pm-3m (No. 221)
Unique sites:
Y 0.0000 0.0000 0.0000 [1 per cell]  6 Sn 2.85
Cr 0.5000 0.5000 0.5000 [1 per cell]  12 Sn 4.03
Sn 0.0000 0.0000 0.5000 [3 per cell]  2 Y 2.85

Values from the calculation:
Total magnetization = 1.0 μB/f.u.
Energy relative to the lowest polymorph listed for this composition = 1262 meV/atom
E_form = 1.3862 eV/atom

(3)
Compound: Ga3SeS
Source: Alexandria
Functional: PBE
Structure: optimized geometry

Cell lengths 5.0390, 5.0390, 5.0390 Å; angles 90.00, 90.00, 90.00 degrees
With the nearest neighbours (Å) after each atom.
Space group Pm-3m (No. 221)
Unique sites:
Ga 0.0000 0.0000 0.5000 [3 per cell]  2 S 2.52
Se 0.5000 0.5000 0.5000 [1 per cell]  12 Ga 3.56
S 0.0000 0.0000 0.0000 [1 per cell]  6 Ga 2.52

Values from the calculation:
Total magnetization = 0.0 μB/f.u.
Energy relative to the lowest polymorph listed for this composition = 0 meV/atom
Formation energy (no corrections) = 17.55 kJ per mole of atoms

(4)
Compound: Pm4Nd3Tm5
Source: Alexandria
Functional: PBE
Structure: optimized geometry

Cell lengths 16.0545, 5.9683, 9.3723 Å; angles 90.00, 116.47, 90.00 degrees
With the nearest neighbours (Å) after each atom.
Space group C2/m (No. 12)
Unique sites:
Pm 0.0850 0.0000 0.4472 [4 per cell]  2 Pm 3.29-3.67, 1 Nd 3.40, 3 Tm 3.45-3.52
Pm 0.2101 0.0000 0.8836 [4 per cell]  3 Nd 3.31-3.61, 3 Pm 3.58-3.67, 2 Tm 3.67
Nd 0.0000 0.5000 0.0000 [2 per cell]  2 Tm 2.98
Nd 0.2121 0.0000 0.2380 [4 per cell]  5 Tm 3.13-3.47, 2 Pm 3.31-3.40
Tm 0.0000 0.0000 0.0000 [2 per cell]  4 Nd 2.98-3.13
Tm 0.0703 0.5000 0.6977 [4 per cell]  2 Nd 3.27-3.49, 2 Tm 3.37-3.59
Tm 0.1706 0.5000 0.3831 [4 per cell]  4 Nd 3.19-3.47, 3 Pm 3.45-3.52

Values from the calculation:
Total magnetization = 0.0 μB/f.u.
Energy relative to the lowest polymorph listed for this composition = 205 meV/atom
E_form = 0.2237 eV/atom